(1)
Compound: Hg
Source: Alexandria
Functional: PBE
Structure: relaxed

Cell and atoms, written as POSCAR:
```
Hg
1.0
9.5239 0.0000 0.0000
0.0000 10.2110 5.7196
0.0000 -10.2110 5.7196
Hg
34
Direct
0.0000 0.0405 0.0405 Hg
0.0000 0.5590 0.5590 Hg
0.0410 0.6591 0.3409 Hg
0.0660 0.1579 0.8338 Hg
0.0681 0.5159 0.9744 Hg
0.0784 0.1557 0.3443 Hg
0.0872 0.7224 0.8660 Hg
0.2500 0.1465 0.5871 Hg
0.2500 0.3701 0.0946 Hg
0.2500 0.4090 0.3777 Hg
0.2500 0.8474 0.2778 Hg
0.2500 0.8482 0.6221 Hg
0.4128 0.7224 0.8660 Hg
0.4216 0.1557 0.3443 Hg
0.4319 0.5159 0.9744 Hg
0.4340 0.1579 0.8338 Hg
0.4590 0.6591 0.3409 Hg
0.5000 0.0405 0.0405 Hg
0.5000 0.5590 0.5590 Hg
0.5410 0.3409 0.6591 Hg
0.5660 0.8338 0.1579 Hg
0.5681 0.9744 0.5159 Hg
0.5784 0.3443 0.1557 Hg
0.5872 0.8660 0.7224 Hg
0.7500 0.0946 0.3701 Hg
0.7500 0.2778 0.8474 Hg
0.7500 0.3777 0.4090 Hg
0.7500 0.5871 0.1465 Hg
0.7500 0.6221 0.8482 Hg
0.9128 0.8660 0.7224 Hg
0.9216 0.3443 0.1557 Hg
0.9319 0.9744 0.5159 Hg
0.9340 0.8338 0.1579 Hg
0.9590 0.3409 0.6591 Hg
```

ΔH_f (0 K)	0.01	eV per formula unit
size of the total moment	0.0	μB/f.u.
offset from the most stable computed form	0.0073	eV/atom
crystal system	orthorhombic

---

(2)
Compound: Hg
Source: Alexandria
Functional: PBE
Structure: relaxed

Cell and atoms, written as POSCAR:
```
Hg
1.0
-4.8534 4.8534 4.8534
4.8534 -4.8534 4.8534
4.8534 4.8534 -4.8534
Hg
6
Direct
0.2500 0.5000 0.7500 Hg
0.2500 0.7500 0.5000 Hg
0.5000 0.2500 0.7500 Hg
0.5000 0.7500 0.2500 Hg
0.7500 0.2500 0.5000 Hg
0.7500 0.5000 0.2500 Hg
```

ΔH_f (0 K)	0.10	eV per formula unit
size of the total moment	0.0	μB/f.u.
offset from the most stable computed form	0.0995	eV/atom
crystal system	cubic

---

(3)
Compound: Hg
Source: Alexandria
Functional: PBE
Structure: relaxed

Cell and atoms, written as POSCAR:
```
Hg
1.0
-1.8296 1.8296 2.0999
1.8296 -1.8296 2.0999
1.8296 1.8296 -2.0999
Hg
1
Direct
0.0000 0.0000 0.0000 Hg
```

ΔH_f (0 K)	0.00	eV per formula unit
size of the total moment	0.0	μB/f.u.
offset from the most stable computed form	0.0024	eV/atom
crystal system	tetragonal

---

(4)
Compound: Hg
Source: Alexandria
Functional: PBE
Structure: relaxed

Cell and atoms, written as POSCAR:
```
Hg
1.0
1.6353 -3.8621 0.0000
1.6353 3.8621 0.0000
0.0000 0.0000 4.4665
Hg
2
Direct
0.1382 0.8618 0.7500 Hg
0.8618 0.1382 0.2500 Hg
```

ΔH_f (0 K)	0.01	eV per formula unit
size of the total moment	0.0	μB/f.u.
offset from the most stable computed form	0.0092	eV/atom
crystal system	orthorhombic

---

(5)
Compound: Hg
Source: Alexandria
Functional: PBE
Structure: relaxed

Cell and atoms, written as POSCAR:
```
Hg
1.0
8.4348 0.0000 0.0000
0.0000 8.4348 0.0000
0.0000 0.0000 8.4348
Hg
20
Direct
0.0452 0.1250 0.7952 Hg
0.0607 0.9393 0.4393 Hg
0.1250 0.7952 0.0452 Hg
0.1893 0.1893 0.1893 Hg
0.2048 0.5452 0.3750 Hg
0.2952 0.4548 0.8750 Hg
0.3107 0.8107 0.6893 Hg
0.3750 0.2048 0.5452 Hg
0.4393 0.0607 0.9393 Hg
0.4548 0.8750 0.2952 Hg
0.5452 0.3750 0.2048 Hg
0.5607 0.5607 0.5607 Hg
0.6250 0.7048 0.9548 Hg
0.6893 0.3107 0.8107 Hg
0.7048 0.9548 0.6250 Hg
0.7952 0.0452 0.1250 Hg
0.8107 0.6893 0.3107 Hg
0.8750 0.2952 0.4548 Hg
0.9393 0.4393 0.0607 Hg
0.9548 0.6250 0.7048 Hg
```

ΔH_f (0 K)	0.00	eV per formula unit
size of the total moment	0.0	μB/f.u.
offset from the most stable computed form	0.0001	eV/atom
crystal system	cubic

---

(6)
Compound: Hg
Source: Alexandria
Functional: PBE
Structure: relaxed

Cell and atoms, written as POSCAR:
```
Hg
1.0
0.0000 2.4784 2.4784
2.4784 0.0000 2.4784
2.4784 2.4784 0.0000
Hg
1
Direct
0.0000 0.0000 0.0000 Hg
```

ΔH_f (0 K)	0.01	eV per formula unit
size of the total moment	0.0	μB/f.u.
offset from the most stable computed form	0.0142	eV/atom
crystal system	cubic

---

(7)
Compound: Hg
Source: Alexandria
Functional: PBE
Structure: relaxed

Cell and atoms, written as POSCAR:
```
Hg
1.0
5.5314 0.0000 0.0000
-2.7657 4.7904 0.0000
0.0000 0.0000 3.2172
Hg
3
Direct
0.0000 0.0000 0.0000 Hg
0.3333 0.6667 0.5000 Hg
0.6667 0.3333 0.5000 Hg
```

ΔH_f (0 K)	0.00	eV per formula unit
size of the total moment	0.0	μB/f.u.
offset from the most stable computed form	0.0023	eV/atom
crystal system	hexagonal

---

(8)
Compound: Hg
Source: Alexandria
Functional: PBE
Structure: relaxed

Cell and atoms, written as POSCAR:
```
Hg
1.0
1.7912 -2.8367 0.0000
1.7912 2.8367 0.0000
-1.7365 0.0000 2.8109
Hg
1
Direct
0.0000 0.0000 0.0000 Hg
```

ΔH_f (0 K)	0.00	eV per formula unit
size of the total moment	0.0	μB/f.u.
offset from the most stable computed form	0.0041	eV/atom
crystal system	monoclinic

---

Calculated values (Ry/atom) of DFT total energy for the records, taken in order: -0.0216; -0.0149; -0.0220; -0.0215; -0.0222; -0.0211; -0.0220; -0.0219.